[1]
# SmGaFe, optimized geometry, DFT GGA-PBE
# mass density: 6.6 g/cm3
# uncorrected energy: -4.647 eV per atom
data_SmGaFe
_chemical_formula_sum 'Sm1 Ga1 Fe1'
_cell_length_a 4.620
_cell_length_b 4.620
_cell_length_c 4.620
_cell_angle_alpha 60.00
_cell_angle_beta 60.00
_cell_angle_gamma 60.00
_space_group_name_H-M_alt 'P 1'
_space_group_IT_number 1
_space_group_name_Hall 'P 1'
loop_
_atom_site_label
_atom_site_type_symbol
_atom_site_fract_x
_atom_site_fract_y
_atom_site_fract_z
Fe1 Fe 0.250 0.250 0.250
Ga1 Ga 0.750 0.750 0.750
Sm1 Sm 0.000 0.000 0.000

=====

[2]
# Ga2FeSn, optimized geometry, DFT GGA-PBE
# mass density: 7.1 g/cm3
# uncorrected energy: -4.255 eV per atom
data_Ga2FeSn
_chemical_formula_sum 'Ga2 Fe1 Sn1'
_cell_length_a 4.701
_cell_length_b 4.701
_cell_length_c 4.701
_cell_angle_alpha 60.00
_cell_angle_beta 60.00
_cell_angle_gamma 60.00
_space_group_name_H-M_alt 'P 1'
_space_group_IT_number 1
_space_group_name_Hall 'P 1'
loop_
_atom_site_label
_atom_site_type_symbol
_atom_site_fract_x
_atom_site_fract_y
_atom_site_fract_z
Fe1 Fe 0.250 0.250 0.250
Ga1 Ga 0.000 0.000 0.000
Ga2 Ga 0.750 0.750 0.750
Sn1 Sn 0.500 0.500 0.500

=====

[3]
# GaFeSn, optimized geometry, DFT GGA-PBE
# mass density: 7.3 g/cm3
# uncorrected energy: -5.011 eV per atom
data_GaFeSn
_chemical_formula_sum 'Ga1 Fe1 Sn1'
_cell_length_a 4.280
_cell_length_b 4.280
_cell_length_c 4.280
_cell_angle_alpha 60.00
_cell_angle_beta 60.00
_cell_angle_gamma 60.00
_space_group_name_H-M_alt 'P 1'
_space_group_IT_number 1
_space_group_name_Hall 'P 1'
loop_
_atom_site_label
_atom_site_type_symbol
_atom_site_fract_x
_atom_site_fract_y
_atom_site_fract_z
Fe1 Fe 0.000 0.000 0.000
Ga1 Ga 0.250 0.250 0.250
Sn1 Sn 0.750 0.750 0.750

=====

[4]
# GaFeSn2, optimized geometry, DFT GGA-PBE
# mass density: 7.0 g/cm3
# uncorrected energy: -4.391 eV per atom
data_GaFeSn2
_chemical_formula_sum 'Ga1 Fe1 Sn2'
_cell_length_a 4.953
_cell_length_b 4.953
_cell_length_c 4.953
_cell_angle_alpha 60.00
_cell_angle_beta 60.00
_cell_angle_gamma 60.00
_space_group_name_H-M_alt 'P 1'
_space_group_IT_number 1
_space_group_name_Hall 'P 1'
loop_
_atom_site_label
_atom_site_type_symbol
_atom_site_fract_x
_atom_site_fract_y
_atom_site_fract_z
Fe1 Fe 0.250 0.250 0.250
Ga1 Ga 0.500 0.500 0.500
Sn1 Sn 0.000 0.000 0.000
Sn2 Sn 0.750 0.750 0.750

=====

[5]
# SrGaFe, optimized geometry, DFT GGA-PBE
# mass density: 4.0 g/cm3
# uncorrected energy: -3.329 eV per atom
data_SrGaFe
_chemical_formula_sum 'Sr1 Ga1 Fe1'
_cell_length_a 5.014
_cell_length_b 5.014
_cell_length_c 5.014
_cell_angle_alpha 60.00
_cell_angle_beta 60.00
_cell_angle_gamma 60.00
_space_group_name_H-M_alt 'P 1'
_space_group_IT_number 1
_space_group_name_Hall 'P 1'
loop_
_atom_site_label
_atom_site_type_symbol
_atom_site_fract_x
_atom_site_fract_y
_atom_site_fract_z
Fe1 Fe 0.250 0.250 0.250
Ga1 Ga 0.750 0.750 0.750
Sr1 Sr 0.000 0.000 0.000

=====

[6]
# SrGaFe, optimized geometry, DFT GGA-PBE
# mass density: 4.8 g/cm3
# uncorrected energy: -3.865 eV per atom
data_SrGaFe
_chemical_formula_sum 'Sr1 Ga1 Fe1'
_cell_length_a 4.714
_cell_length_b 4.714
_cell_length_c 4.714
_cell_angle_alpha 60.00
_cell_angle_beta 60.00
_cell_angle_gamma 60.00
_space_group_name_H-M_alt 'P 1'
_space_group_IT_number 1
_space_group_name_Hall 'P 1'
loop_
_atom_site_label
_atom_site_type_symbol
_atom_site_fract_x
_atom_site_fract_y
_atom_site_fract_z
Fe1 Fe 0.000 0.000 0.000
Ga1 Ga 0.250 0.250 0.250
Sr1 Sr 0.750 0.750 0.750